(1)
VASP calculation (PBE-GGA) on a relaxed BaDyNi crystal. Values from VASP.

```
&SYSTEM
  ibrav = 0, nat = 3, ntyp = 3
/
ATOMIC_SPECIES
Ni 58.69 Ni.upf
Ba 137.33 Ba.upf
Dy 162.50 Dy.upf
ATOMIC_POSITIONS crystal
Ni 0.750 0.750 0.750
Ba 0.000 0.000 0.000
Dy 0.250 0.250 0.250
CELL_PARAMETERS angstrom
-2.720 -3.637 -1.801
-1.828 -3.399 2.997
-4.800 -0.137 0.900
```

space-group type: No. 216
total DFT energy (no corrections): -9.27 eV/cell
theoretical density: 7.2 g cm⁻³
crystal system: cubic


(2)
VASP calculation (PBE-GGA) on a relaxed Pm3N2O crystal. Values from VASP.

```
&SYSTEM
  ibrav = 0, nat = 12, ntyp = 3
/
ATOMIC_SPECIES
Pm 145.00 Pm.upf
N 14.01 N.upf
O 16.00 O.upf
ATOMIC_POSITIONS crystal
Pm 0.500 0.500 0.750
Pm 0.500 0.500 0.250
Pm 0.829 0.829 0.915
Pm 0.171 0.171 0.085
Pm 0.171 0.171 0.585
Pm 0.829 0.829 0.415
N 0.668 0.668 0.084
N 0.668 0.668 0.584
N 0.332 0.332 0.416
N 0.332 0.332 0.916
O 0.000 0.000 0.750
O 0.000 0.000 0.250
CELL_PARAMETERS angstrom
-3.628 -4.831 1.310
1.101 -6.083 0.064
2.324 2.577 6.229
```

space-group type: No. 71
total DFT energy (no corrections): -95.40 eV/cell
theoretical density: 8.3 g cm⁻³
crystal system: orthorhombic


(3)
VASP calculation (PBE-GGA) on a relaxed CsTaBePd crystal. Values from VASP.

```
&SYSTEM
  ibrav = 0, nat = 4, ntyp = 4
/
ATOMIC_SPECIES
Be 9.01 Be.upf
Pd 106.42 Pd.upf
Ta 180.95 Ta.upf
Cs 132.91 Cs.upf
ATOMIC_POSITIONS crystal
Be 0.750 0.750 0.750
Pd 0.500 0.500 0.500
Ta 0.250 0.250 0.250
Cs 0.000 0.000 0.000
CELL_PARAMETERS angstrom
-4.201 0.989 1.981
-3.705 1.150 -2.739
-3.625 -3.029 -0.485
```

space-group type: No. 216
total DFT energy (no corrections): -16.09 eV/cell
theoretical density: 9.4 g cm⁻³
crystal system: cubic


(4)
VASP calculation (PBE-GGA) on a relaxed DyCd3Sn4O12 crystal. Values from VASP.

```
&SYSTEM
  ibrav = 0, nat = 20, ntyp = 4
/
ATOMIC_SPECIES
O 16.00 O.upf
Cd 112.41 Cd.upf
Sn 118.71 Sn.upf
Dy 162.50 Dy.upf
ATOMIC_POSITIONS crystal
O 0.181 0.897 0.716
O 0.465 0.284 0.181
O 0.897 0.716 0.181
O 0.819 0.535 0.716
O 0.535 0.716 0.819
O 0.284 0.181 0.465
O 0.819 0.103 0.284
O 0.181 0.465 0.284
O 0.716 0.819 0.535
O 0.284 0.819 0.103
O 0.103 0.284 0.819
O 0.716 0.181 0.897
Cd 0.500 0.000 0.500
Cd 0.500 0.500 0.000
Cd 0.000 0.500 0.500
Sn 0.000 0.000 0.500
Sn 0.500 0.500 0.500
Sn 0.000 0.500 0.000
Sn 0.500 0.000 0.000
Dy 0.000 0.000 0.000
CELL_PARAMETERS angstrom
6.359 -0.260 -2.720
-1.675 6.583 1.324
-0.144 -3.645 5.882
```

space-group type: No. 204
total DFT energy (no corrections): -114.86 eV/cell
theoretical density: 7.6 g cm⁻³
crystal system: cubic


(5)
VASP calculation (PBE-GGA) on a relaxed H3Pt crystal. Values from VASP.

```
&SYSTEM
  ibrav = 0, nat = 24, ntyp = 2
/
ATOMIC_SPECIES
Pt 195.08 Pt.upf
H 1.01 H.upf
ATOMIC_POSITIONS crystal
Pt 0.350 0.000 0.761
Pt 0.350 0.350 0.261
Pt 0.000 0.650 0.261
Pt 0.650 0.000 0.261
Pt 0.650 0.650 0.761
Pt 0.000 0.350 0.761
H 0.000 0.457 0.465
H 0.000 0.229 0.998
H 0.667 0.333 0.239
H 0.000 0.543 0.965
H 0.229 0.229 0.498
H 0.771 0.771 0.998
H 0.000 0.000 0.241
H 0.333 0.667 0.739
H 0.771 0.000 0.498
H 0.000 0.000 0.741
H 0.229 0.000 0.998
H 0.667 0.333 0.739
H 0.543 0.000 0.965
H 0.457 0.000 0.465
H 0.333 0.667 0.239
H 0.000 0.771 0.498
H 0.457 0.457 0.965
H 0.543 0.543 0.465
CELL_PARAMETERS angstrom
-5.040 1.501 -2.157
0.247 -3.031 4.802
0.151 5.305 3.340
```

space-group type: No. 185
total DFT energy (no corrections): -88.22 eV/cell
theoretical density: 11.2 g cm⁻³
crystal system: hexagonal


(6)
VASP calculation (PBE-GGA) on a relaxed MgCoMoAu crystal. Values from VASP.

```
&SYSTEM
  ibrav = 0, nat = 4, ntyp = 4
/
ATOMIC_SPECIES
Co 58.93 Co.upf
Au 196.97 Au.upf
Mg 24.30 Mg.upf
Mo 95.94 Mo.upf
ATOMIC_POSITIONS crystal
Co 0.000 0.000 0.000
Au 0.750 0.750 0.750
Mg 0.500 0.500 0.500
Mo 0.250 0.250 0.250
CELL_PARAMETERS angstrom
0.000 3.089 3.089
3.089 0.000 3.089
3.089 3.089 0.000
```

space-group type: No. 216
total DFT energy (no corrections): -22.08 eV/cell
theoretical density: 10.6 g cm⁻³
crystal system: cubic


(7)
VASP calculation (PBE-GGA) on a relaxed Tl2HgAs crystal. Values from VASP.

```
&SYSTEM
  ibrav = 0, nat = 4, ntyp = 3
/
ATOMIC_SPECIES
Tl 204.38 Tl.upf
As 74.92 As.upf
Hg 200.59 Hg.upf
ATOMIC_POSITIONS crystal
Tl 0.000 0.000 0.000
Tl 0.250 0.250 0.250
As 0.750 0.750 0.750
Hg 0.500 0.500 0.500
CELL_PARAMETERS angstrom
0.000 3.740 3.740
3.740 0.000 3.740
3.740 3.740 0.000
```

space-group type: No. 216
total DFT energy (no corrections): -9.17 eV/cell
theoretical density: 10.9 g cm⁻³
crystal system: cubic


(8)
VASP calculation (PBE-GGA) on a relaxed ErZnAsO crystal. Values from VASP.

```
&SYSTEM
  ibrav = 0, nat = 8, ntyp = 4
/
ATOMIC_SPECIES
Zn 65.41 Zn.upf
As 74.92 As.upf
O 16.00 O.upf
Er 167.26 Er.upf
ATOMIC_POSITIONS crystal
Zn 0.750 0.750 0.018
Zn 0.250 0.250 0.982
As 0.250 0.250 0.683
As 0.750 0.750 0.317
O 0.250 0.750 0.000
O 0.750 0.250 0.000
Er 0.250 0.750 0.500
Er 0.750 0.250 0.500
CELL_PARAMETERS angstrom
-3.692 1.858 1.448
-2.237 -3.608 -1.074
1.541 -3.440 8.344
```

space-group type: No. 129
total DFT energy (no corrections): -35.40 eV/cell
theoretical density: 6.1 g cm⁻³
crystal system: tetragonal


(9)
VASP calculation (PBE-GGA) on a relaxed TaNbSi crystal. Values from VASP.

```
&SYSTEM
  ibrav = 0, nat = 3, ntyp = 3
/
ATOMIC_SPECIES
Si 28.09 Si.upf
Ta 180.95 Ta.upf
Nb 92.91 Nb.upf
ATOMIC_POSITIONS crystal
Si 0.000 0.000 0.000
Ta 0.750 0.750 0.750
Nb 0.250 0.250 0.250
CELL_PARAMETERS angstrom
-0.817 -3.050 -2.889
-3.469 -2.472 0.421
-3.284 0.443 -2.708
```

space-group type: No. 216
total DFT energy (no corrections): -27.33 eV/cell
theoretical density: 9.0 g cm⁻³
crystal system: cubic


(10)
VASP calculation (PBE-GGA) on a relaxed Nb4TlSiC2 crystal. Values from VASP.

```
&SYSTEM
  ibrav = 0, nat = 8, ntyp = 4
/
ATOMIC_SPECIES
Si 28.09 Si.upf
Nb 92.91 Nb.upf
Tl 204.38 Tl.upf
C 12.01 C.upf
ATOMIC_POSITIONS crystal
Si 0.000 0.000 0.000
Nb 0.667 0.333 0.859
Nb 0.000 0.000 0.318
Nb 0.000 0.000 0.682
Nb 0.667 0.333 0.141
Tl 0.667 0.333 0.500
C 0.333 0.667 0.232
C 0.333 0.667 0.768
CELL_PARAMETERS angstrom
3.238 0.000 0.000
-1.619 2.804 0.000
0.000 0.000 13.461
```

space-group type: No. 187
total DFT energy (no corrections): -69.83 eV/cell
theoretical density: 8.5 g cm⁻³
crystal system: hexagonal


(11)
VASP calculation (PBE-GGA) on a relaxed TmZn crystal. Values from VASP.

```
&SYSTEM
  ibrav = 0, nat = 2, ntyp = 2
/
ATOMIC_SPECIES
Tm 168.93 Tm.upf
Zn 65.41 Zn.upf
ATOMIC_POSITIONS crystal
Tm 0.000 0.000 0.000
Zn 0.667 0.333 0.500
CELL_PARAMETERS angstrom
-0.824 3.004 -1.425
-0.760 -2.926 -1.611
-4.112 -0.112 2.143
```

energy of formation from the pure elements: -10 kJ/mol of formula units
space-group type: No. 187
total DFT energy (no corrections): -5.85 eV/cell
theoretical density: 8.3 g cm⁻³
crystal system: hexagonal


(12)
VASP calculation (PBE-GGA) on a relaxed La2NdNiHg3Au2 crystal. Values from VASP.

```
&SYSTEM
  ibrav = 0, nat = 9, ntyp = 5
/
ATOMIC_SPECIES
Nd 144.24 Nd.upf
Hg 200.59 Hg.upf
Au 196.97 Au.upf
La 138.91 La.upf
Ni 58.69 Ni.upf
ATOMIC_POSITIONS crystal
Nd 0.000 0.394 0.394
Hg 0.500 0.755 0.755
Hg 0.500 0.244 0.003
Hg 0.500 0.003 0.244
Au 0.500 0.334 0.665
Au 0.500 0.665 0.334
La 0.000 0.001 0.606
La 0.000 0.606 0.001
Ni 0.000 0.998 0.998
CELL_PARAMETERS angstrom
4.020 0.000 0.000
0.000 6.848 3.969
0.000 -6.848 3.969
```

energy of formation from the pure elements: -513 kJ/mol of formula units
space-group type: No. 38
total DFT energy (no corrections): -32.92 eV/cell
theoretical density: 11.2 g cm⁻³
crystal system: orthorhombic


(13)
VASP calculation (PBE-GGA) on a relaxed AlPW4N2 crystal. Values from VASP.

```
&SYSTEM
  ibrav = 0, nat = 8, ntyp = 4
/
ATOMIC_SPECIES
P 30.97 P.upf
W 183.84 W.upf
Al 26.98 Al.upf
N 14.01 N.upf
ATOMIC_POSITIONS crystal
P 0.000 0.000 0.000
W 0.667 0.333 0.866
W 0.000 0.000 0.340
W 0.667 0.333 0.134
W 0.000 0.000 0.660
Al 0.667 0.333 0.500
N 0.333 0.667 0.240
N 0.333 0.667 0.760
CELL_PARAMETERS angstrom
2.901 0.000 0.000
-1.450 2.512 0.000
0.000 0.000 13.897
```

space-group type: No. 187
total DFT energy (no corrections): -77.13 eV/cell
theoretical density: 13.5 g cm⁻³
crystal system: hexagonal


(14)
VASP calculation (PBE-GGA) on a relaxed PaPbO3 crystal. Values from VASP.

```
&SYSTEM
  ibrav = 0, nat = 5, ntyp = 3
/
ATOMIC_SPECIES
Pa 231.04 Pa.upf
Pb 207.20 Pb.upf
O 16.00 O.upf
ATOMIC_POSITIONS crystal
Pa 0.000 0.000 0.922
Pb 0.500 0.500 0.444
O 0.500 0.500 0.063
O 0.000 0.500 0.736
O 0.500 0.000 0.736
CELL_PARAMETERS angstrom
-0.950 -2.311 -2.533
0.350 -2.680 2.314
-6.301 0.682 1.743
```

space-group type: No. 99
total DFT energy (no corrections): -36.92 eV/cell
theoretical density: 9.7 g cm⁻³
crystal system: tetragonal


(15)
VASP calculation (PBE-GGA) on a relaxed Ba4Ni3Ge20 crystal. Values from VASP.

```
&SYSTEM
  ibrav = 0, nat = 54, ntyp = 3
/
ATOMIC_SPECIES
Ge 72.64 Ge.upf
Ni 58.69 Ni.upf
Ba 137.33 Ba.upf
ATOMIC_POSITIONS crystal
Ge 0.183 0.183 0.817
Ge 0.124 0.000 0.677
Ge 0.876 0.000 0.323
Ge 0.500 0.376 0.823
Ge 0.000 0.323 0.124
Ge 0.817 0.183 0.817
Ge 0.000 0.677 0.124
Ge 0.317 0.683 0.317
Ge 0.683 0.317 0.683
Ge 0.317 0.317 0.317
Ge 0.177 0.500 0.376
Ge 0.177 0.500 0.624
Ge 0.817 0.817 0.183
Ge 0.624 0.177 0.500
Ge 0.500 0.624 0.823
Ge 0.823 0.500 0.624
Ge 0.000 0.677 0.876
Ge 0.817 0.183 0.183
Ge 0.876 0.000 0.677
Ge 0.677 0.124 0.000
Ge 0.683 0.683 0.317
Ge 0.817 0.817 0.817
Ge 0.183 0.817 0.183
Ge 0.683 0.317 0.317
Ge 0.624 0.823 0.500
Ge 0.500 0.624 0.177
Ge 0.317 0.317 0.683
Ge 0.376 0.823 0.500
Ge 0.317 0.683 0.683
Ge 0.683 0.683 0.683
Ge 0.677 0.876 0.000
Ge 0.323 0.124 0.000
Ge 0.000 0.323 0.876
Ge 0.183 0.817 0.817
Ge 0.124 0.000 0.323
Ge 0.500 0.376 0.177
Ge 0.823 0.500 0.376
Ge 0.376 0.177 0.500
Ge 0.183 0.183 0.183
Ge 0.323 0.876 0.000
Ni 0.750 0.000 0.500
Ni 0.250 0.000 0.500
Ni 0.000 0.500 0.750
Ni 0.500 0.750 0.000
Ni 0.500 0.250 0.000
Ni 0.000 0.500 0.250
Ba 0.000 0.750 0.500
Ba 0.250 0.500 0.000
Ba 0.500 0.000 0.250
Ba 0.500 0.000 0.750
Ba 0.000 0.000 0.000
Ba 0.500 0.500 0.500
Ba 0.000 0.250 0.500
Ba 0.750 0.500 0.000
CELL_PARAMETERS angstrom
-3.618 -8.568 5.342
9.660 -1.284 4.482
-2.941 6.323 8.150
```

space-group type: No. 223
total DFT energy (no corrections): -249.20 eV/cell
theoretical density: 5.9 g cm⁻³
crystal system: cubic


(16)
VASP calculation (PBE-GGA) on a relaxed RbTcB crystal. Values from VASP.

```
&SYSTEM
  ibrav = 0, nat = 3, ntyp = 3
/
ATOMIC_SPECIES
B 10.81 B.upf
Rb 85.47 Rb.upf
Tc 98.00 Tc.upf
ATOMIC_POSITIONS crystal
B 0.250 0.250 0.250
Rb 0.750 0.750 0.750
Tc 0.000 0.000 0.000
CELL_PARAMETERS angstrom
0.568 -4.200 0.784
0.664 -1.369 4.033
-3.060 -2.244 2.045
```

space-group type: No. 216
total DFT energy (no corrections): -11.06 eV/cell
theoretical density: 5.7 g cm⁻³
crystal system: cubic


(17)
VASP calculation (PBE-GGA) on a relaxed RbZrGeSe3 crystal. Values from VASP.

```
&SYSTEM
  ibrav = 0, nat = 12, ntyp = 4
/
ATOMIC_SPECIES
Se 78.96 Se.upf
Ge 72.64 Ge.upf
Rb 85.47 Rb.upf
Zr 91.22 Zr.upf
ATOMIC_POSITIONS crystal
Se 0.118 0.882 0.510
Se 0.882 0.118 0.490
Se 0.882 0.118 0.010
Se 0.118 0.882 0.990
Se 0.492 0.508 0.750
Se 0.508 0.492 0.250
Ge 0.093 0.907 0.750
Ge 0.907 0.093 0.250
Rb 0.217 0.783 0.250
Rb 0.783 0.217 0.750
Zr 0.500 0.500 0.000
Zr 0.500 0.500 0.500
CELL_PARAMETERS angstrom
2.009 -7.833 0.000
2.009 7.833 0.000
0.000 0.000 11.374
```

space-group type: No. 63
total DFT energy (no corrections): -59.21 eV/cell
theoretical density: 4.5 g cm⁻³
crystal system: orthorhombic


(18)
VASP calculation (PBE-GGA) on a relaxed BaHoZr crystal. Values from VASP.

```
&SYSTEM
  ibrav = 0, nat = 3, ntyp = 3
/
ATOMIC_SPECIES
Ba 137.33 Ba.upf
Zr 91.22 Zr.upf
Ho 164.93 Ho.upf
ATOMIC_POSITIONS crystal
Ba 0.000 0.000 0.000
Zr 0.750 0.750 0.750
Ho 0.250 0.250 0.250
CELL_PARAMETERS angstrom
0.000 3.745 3.745
3.745 0.000 3.745
3.745 3.745 0.000
```

space-group type: No. 216
total DFT energy (no corrections): -11.05 eV/cell
theoretical density: 6.2 g cm⁻³
crystal system: cubic


(19)
VASP calculation (PBE-GGA) on a relaxed SrSn2Au crystal. Values from VASP.

```
&SYSTEM
  ibrav = 0, nat = 4, ntyp = 3
/
ATOMIC_SPECIES
Sn 118.71 Sn.upf
Sr 87.62 Sr.upf
Au 196.97 Au.upf
ATOMIC_POSITIONS crystal
Sn 0.000 0.000 0.000
Sn 0.750 0.750 0.750
Sr 0.500 0.500 0.500
Au 0.250 0.250 0.250
CELL_PARAMETERS angstrom
1.530 -4.501 2.413
-3.021 -4.377 -0.361
1.658 -4.151 -2.905
```

space-group type: No. 216
total DFT energy (no corrections): -14.35 eV/cell
theoretical density: 8.1 g cm⁻³
crystal system: cubic


(20)
VASP calculation (PBE-GGA) on a relaxed LiTb2ReO6 crystal. Values from VASP.

```
&SYSTEM
  ibrav = 0, nat = 20, ntyp = 4
/
ATOMIC_SPECIES
O 16.00 O.upf
Tb 158.93 Tb.upf
Li 6.94 Li.upf
Re 186.21 Re.upf
ATOMIC_POSITIONS crystal
O 0.762 0.293 0.937
O 0.126 0.459 0.746
O 0.238 0.793 0.563
O 0.636 0.687 0.444
O 0.636 0.813 0.944
O 0.364 0.313 0.556
O 0.874 0.541 0.254
O 0.364 0.187 0.056
O 0.238 0.707 0.063
O 0.126 0.041 0.246
O 0.874 0.959 0.754
O 0.762 0.207 0.437
Tb 0.721 0.923 0.246
Tb 0.279 0.423 0.254
Tb 0.279 0.077 0.754
Tb 0.721 0.577 0.746
Li 0.500 0.500 0.000
Li 0.500 0.000 0.500
Re 0.000 0.500 0.500
Re 0.000 0.000 0.000
CELL_PARAMETERS angstrom
-4.079 1.969 2.756
-2.398 -5.163 0.140
7.554 -3.404 3.837
```

space-group type: No. 14
total DFT energy (no corrections): -158.61 eV/cell
theoretical density: 8.8 g cm⁻³
crystal system: monoclinic


(21)
VASP calculation (PBE-GGA) on a relaxed Gd2As crystal. Values from VASP.

```
&SYSTEM
  ibrav = 0, nat = 6, ntyp = 2
/
ATOMIC_SPECIES
As 74.92 As.upf
Gd 157.25 Gd.upf
ATOMIC_POSITIONS crystal
As 0.500 0.500 0.500
As 0.250 0.250 0.250
Gd 0.875 0.375 0.375
Gd 0.375 0.375 0.375
Gd 0.375 0.375 0.875
Gd 0.375 0.875 0.375
CELL_PARAMETERS angstrom
-6.062 -6.462 -0.984
-0.279 -6.770 5.794
-6.778 -0.667 5.753
```

space-group type: No. 227
total DFT energy (no corrections): -24.09 eV/cell
theoretical density: 2.6 g cm⁻³
crystal system: cubic


(22)
VASP calculation (PBE-GGA) on a relaxed NaZrTe3Au crystal. Values from VASP.

```
&SYSTEM
  ibrav = 0, nat = 12, ntyp = 4
/
ATOMIC_SPECIES
Na 22.99 Na.upf
Te 127.60 Te.upf
Zr 91.22 Zr.upf
Au 196.97 Au.upf
ATOMIC_POSITIONS crystal
Na 0.122 0.122 0.587
Na 0.878 0.878 0.413
Te 0.304 0.304 0.662
Te 0.500 0.500 0.500
Te 0.000 0.000 0.000
Te 0.696 0.696 0.338
Te 0.319 0.319 0.129
Te 0.681 0.681 0.871
Zr 0.158 0.158 0.100
Zr 0.842 0.842 0.900
Au 0.556 0.556 0.223
Au 0.444 0.444 0.777
CELL_PARAMETERS angstrom
9.643 -2.001 0.000
9.643 2.001 0.000
-1.256 0.000 8.772
```

space-group type: No. 12
total DFT energy (no corrections): -52.72 eV/cell
theoretical density: 6.8 g cm⁻³
crystal system: monoclinic